A plane-wave DFT calculation with PBE was carried out for crystalline TiV2CdBi at its relaxed geometry.

Calculated values
Its energy relative to the elements is 1.660 eV/atom. The total magnetic moment is 6.8 μB per cell. As for the crystal system: tetragonal.

Lattice parameters (Å, degrees): 4.999 5.479 4.999 90.00 90.00 90.00
Sites, in units of the cell vectors:
Bi 0.000 0.500 0.000
Cd 0.000 0.000 0.000
V 0.500 0.000 0.000
Ti 0.500 0.500 0.500
V 0.000 0.000 0.500